1.
Material: Sm12H5O3
Method: DFT, PBE-GGA
State: relaxed

raw total energy	-5.0408	eV per atom

Cell: 14.627 14.627 14.627 Å, 90.00 90.00 90.00°
Space group Ia-3d (No. 230)
Asymmetric unit:
Sm1 0.034 0.069 0.654 [96 per cell]
H1 0.000 0.000 0.000 [16 per cell]
H2 0.000 0.250 0.375 [24 per cell]
O1 0.000 0.250 0.125 [24 per cell]

---

2.
Material: SmHO
Method: DFT, PBE-GGA
State: relaxed

raw total energy	-6.5438	eV per atom

Cell: 7.786 7.786 5.493 Å, 90.00 90.00 90.00°
Space group P4/nmm (No. 129, origin choice 2)
Asymmetric unit:
Sm1 0.000 0.000 0.000 [4 per cell]
Sm2 0.250 0.250 0.447 [2 per cell]
Sm3 0.250 0.750 0.500 [2 per cell]
H1 0.021 0.250 0.747 [8 per cell]
O1 0.015 0.750 0.756 [8 per cell]

---

3.
Material: SmH3O3
Method: DFT, PBE-GGA
State: relaxed

raw total energy	-6.1775	eV per atom

Cell: 6.4421 6.4421 3.6710 Å, 90.00 90.00 120.00°
Space group P6_3/m (No. 176)
Asymmetric unit:
Sm1 0.3333 0.6667 0.2500 [2 per cell]
H1 0.1365 0.2777 0.7500 [6 per cell]
O1 0.0829 0.3948 0.7500 [6 per cell]

---

4.
Material: SmHO
Method: DFT, PBE-GGA
State: relaxed

raw total energy	-6.5520	eV per atom

Cell: 5.465 5.465 5.465 Å, 90.00 90.00 90.00°
Space group F-43m (No. 216)
Asymmetric unit:
Sm1 0.000 0.000 0.000 [4 per cell]
H1 0.250 0.250 0.750 [4 per cell]
O1 0.250 0.250 0.250 [4 per cell]

---

> The highest raw total energy belongs to which entry?

Sm12H5O3